Record 1
A relaxed structure of CsOsPb, computed with PBE-GGA.

Lattice parameters (Å, degrees): 7.438 7.438 7.438 90.00 90.00 90.00
Space group F-43m (No. 216)
Symmetry-distinct sites (fractional):
Cs1 0.000 0.000 0.000 [4 per cell]
Os1 0.250 0.250 0.750 [4 per cell]
Pb1 0.250 0.250 0.250 [4 per cell]

Computed properties:
Energy above the lowest structure with this stoichiometry (kJ/mol of formula units): 283
ρ (Mg/m³): 8.562
Raw total energy (eV/f.u.): -8.60
Total magnetic moment (μB/cell): 5.68

---

Record 2
A relaxed structure of LuZnPb2, computed with PBE-GGA.

Lattice parameters (Å, degrees): 7.548 7.548 7.548 90.00 90.00 90.00
Space group F-43m (No. 216)
Symmetry-distinct sites (fractional):
Lu1 0.000 0.000 0.000 [4 per cell]
Zn1 0.250 0.250 0.750 [4 per cell]
Pb1 0.000 0.000 0.500 [4 per cell]
Pb2 0.250 0.250 0.250 [4 per cell]

Computed properties:
ρ (Mg/m³): 10.112
Raw total energy (eV/f.u.): -13.21
Total magnetic moment (μB/cell): 0.04

---

Record 3
A relaxed structure of RbCu3PbSe4, computed with PBE-GGA.

Lattice parameters (Å, degrees): 6.437 6.437 6.437 90.00 90.00 90.00
Space group P-43m (No. 215)
Symmetry-distinct sites (fractional):
Rb1 0.000 0.000 0.000 [1 per cell]
Cu1 0.000 0.500 0.500 [3 per cell]
Pb1 0.500 0.500 0.500 [1 per cell]
Se1 0.271 0.271 0.271 [4 per cell]

Computed properties:
ρ (Mg/m³): 4.975
Raw total energy (eV/f.u.): -30.06

---

Record 4
A relaxed structure of Li2Sc2Al2AgPt, computed with PBE-GGA.

Lattice parameters (Å, degrees): 4.519 4.519 6.449 90.00 90.00 90.00
Space group P-4m2 (No. 115)
Symmetry-distinct sites (fractional):
Li1 0.000 0.000 0.000 [1 per cell]
Li2 0.500 0.500 0.500 [1 per cell]
Sc1 0.000 0.500 0.241 [2 per cell]
Al1 0.000 0.500 0.760 [2 per cell]
Ag1 0.000 0.000 0.500 [1 per cell]
Pt1 0.500 0.500 0.000 [1 per cell]

Computed properties:
ρ (Mg/m³): 5.810
Raw total energy (eV/f.u.): -37.72
Total magnetic moment (μB/cell): 0.00

---

Record 5
A relaxed structure of NbAg2HgSe4, computed with PBE-GGA.

Lattice parameters (Å, degrees): 8.577 7.441 7.175 90.00 90.00 90.00
Space group Pmn2_1 (No. 31)
Symmetry-distinct sites (fractional):
Nb1 0.000 0.188 0.000 [2 per cell]
Ag1 0.245 0.676 0.993 [4 per cell]
Hg1 0.000 0.845 0.489 [2 per cell]
Se1 0.000 0.190 0.659 [2 per cell]
Se2 0.000 0.873 0.098 [2 per cell]
Se3 0.232 0.340 0.122 [4 per cell]

Computed properties:
ρ (Mg/m³): 5.984
Raw total energy (eV/f.u.): -32.26
Total magnetic moment (μB/cell): 0.05

---

Record 6
A relaxed structure of DyTeAs, computed with PBE-GGA.

Lattice parameters (Å, degrees): 8.4172 8.4172 3.8457 90.00 90.00 120.00
Space group P-62m (No. 189)
Symmetry-distinct sites (fractional):
Dy1 0.0000 0.2935 0.0000 [3 per cell]
Te1 0.0000 0.0000 0.5000 [1 per cell]
Te2 0.3333 0.6667 0.0000 [2 per cell]
As1 0.0000 0.5894 0.5000 [3 per cell]

Computed properties:
ρ (Mg/m³): 7.706
Raw total energy (eV/f.u.): -14.09
Total magnetic moment (μB/cell): 0.01

---

Record 7
A relaxed structure of CdAgSb, computed with PBE-GGA.

Lattice parameters (Å, degrees): 4.6949 4.6949 7.8098 90.00 90.00 120.00
Space group P6_3/mmc (No. 194)
Symmetry-distinct sites (fractional):
Cd1 0.0000 0.0000 0.0000 [2 per cell]
Ag1 0.3333 0.6667 0.2500 [2 per cell]
Sb1 0.3333 0.6667 0.7500 [2 per cell]

Computed properties:
ρ (Mg/m³): 7.620
Raw total energy (eV/f.u.): -7.33

---

Record 8
A relaxed structure of YPdNO, computed with PBE-GGA.

Lattice parameters (Å, degrees): 4.143 5.110 4.915 90.00 90.00 90.00
Space group Pmc2_1 (No. 26)
Symmetry-distinct sites (fractional):
Y1 0.000 0.225 0.000 [2 per cell]
Pd1 0.500 0.345 0.515 [2 per cell]
N1 0.000 0.275 0.483 [2 per cell]
O1 0.500 0.121 0.856 [2 per cell]

Computed properties:
Energy above the lowest structure with this stoichiometry (kJ/mol of formula units): 140
ρ (Mg/m³): 7.192
Raw total energy (eV/f.u.): -29.21
Total magnetic moment (μB/cell): 0.00